Computed, not measured: a relaxed structure of BaCdBr2 at the PBE-GGA level of DFT.

For the density, the calculation gives 4.00 g/cm3. For the volume, the calculation gives 42.49 A^3/atom. The calculation puts the uncorrected formation energy at -1.350 eV per atom. For the relative energy among the computed polymorphs, the calculation gives 0.085 eV/atom.

It has space group Imm2 (No. 44), with a = 4.258 Å, b = 5.094 Å, c = 15.676 Å, α = 90.00°, β = 90.00° and γ = 90.00°. The inequivalent atoms are Ba at (0.000, 0.000, 0.000), Cd at (0.000, 0.500, 0.276), Br at (0.000, 0.000, 0.458) and Br at (0.000, 0.500, 0.649).

Computed, not measured: a relaxed structure of TbSmDy2Y6 at the PBE-GGA level of DFT.

As for the formation energy: 1.2 eV/f.u. For the density, the calculation gives 5.93 g/cm3. For the volume, the calculation gives 32.72 A^3/atom.

It has space group C2/c (No. 15), with a = 9.119 Å, b = 15.007 Å, c = 9.677 Å, α = 90.00°, β = 98.76° and γ = 90.00°. The inequivalent atoms are Tb at (0.000, 0.023, 0.250), Sm at (0.000, 0.407, 0.750), Dy at (0.244, 0.051, 0.545), Y at (0.064, 0.185, 0.944), Y at (0.101, 0.394, 0.119) and Y at (0.204, 0.224, 0.317).

Computed, not measured: a relaxed structure of MnHg2PSe at the PBE-GGA level of DFT.

For the density, the calculation gives 7.60 g/cm3. For the volume, the calculation gives 24.74 A^3/atom. The calculation puts the uncorrected formation energy at 0.697 eV per atom.

It has space group P4/mmm (No. 123), with a = 5.274 Å, b = 5.274 Å, c = 4.448 Å, α = 90.00°, β = 90.00° and γ = 90.00°. The inequivalent atoms are Mn at (0.000, 0.000, 0.000), Hg at (0.000, 0.500, 0.000), P at (0.500, 0.500, 0.500) and Se at (0.000, 0.000, 0.500).

Computed, not measured: a relaxed structure of KTl2HgRh at the PBE-GGA level of DFT.

As for the formation energy: -0.6 eV/f.u. For the density, the calculation gives 8.19 g/cm3. For the volume, the calculation gives 30.46 A^3/atom. For the relative energy among the computed polymorphs, the calculation gives 0.000 eV/atom.

It has space group P4/mmm (No. 123), with a = 5.289 Å, b = 5.289 Å, c = 5.445 Å, α = 90.00°, β = 90.00° and γ = 90.00°. The inequivalent atoms are K at (0.000, 0.000, 0.000), Tl at (0.000, 0.500, 0.500), Hg at (0.500, 0.500, 0.000) and Rh at (0.500, 0.500, 0.500).